## CdFePbF6 (GGA+U)

Data for a relaxed CdFePbF6 crystal. Values from VASP.

Structure (Quantum ESPRESSO input):
```
&SYSTEM
  ibrav = 0, nat = 18, ntyp = 4
/
ATOMIC_SPECIES
Cd 112.41 Cd.upf
Fe 55.84 Fe.upf
Pb 207.20 Pb.upf
F 19.00 F.upf
CELL_PARAMETERS angstrom
5.7652 0.0000 0.0000
-2.8826 4.9928 0.0000
0.0000 0.0000 10.3262
ATOMIC_POSITIONS angstrom
Cd 0.0000 3.3286 2.5816
Cd 2.8826 1.6643 7.7447
Fe 0.0000 3.3286 7.7447
Fe 2.8826 1.6643 2.5816
Pb 0.0000 0.0000 0.0000
Pb 0.0000 0.0000 5.1631
F -0.9285 1.8251 6.5991
F -1.7663 3.2762 8.8903
F 0.9285 1.8251 8.8903
F -0.8378 4.8844 6.5991
F 2.0448 0.1084 1.4360
F 1.1163 1.7167 3.7271
F 1.7663 3.2762 6.5991
F 0.8378 4.8844 8.8903
F 3.7204 0.1084 3.7271
F 1.9541 3.1678 1.4360
F 4.6490 1.7167 1.4360
F 3.8111 3.1678 3.7271
```

Summary:
Space group ... P-31c
Energy ... -41.44 eV/f.u.
N(E_F) ... 14.49 states/eV/cell
Crystal system ... trigonal